(1)
## ZnIn4 (PBE)

Data for a geometry-optimized ZnIn4 structure.

## Properties
The energy above the lowest structure with this stoichiometry comes out at 0.00 eV per formula unit. The density of states at the Fermi level is 6.82 states/eV/cell.

Unit cell a=4.5076 b=4.7239 c=23.2673 alpha=90.00 beta=90.00 gamma=90.00
Space group Fmmm (No. 69)
Inequivalent atoms, fractional coordinates:
Zn (0.0000, 0.0000, 0.0000)
In (0.0000, 0.0000, 0.1954)
In (0.0000, 0.0000, 0.4139)

=====

(2)
## Zn3In2 (PBE)

Data for a geometry-optimized Zn3In2 structure.

## Properties
The density of states at the Fermi level is 2.09 states/eV/cell. The value obtained for the total energy is -1.68 eV/atom.

Unit cell a=4.3638 b=4.3638 c=6.7569 alpha=90.00 beta=90.00 gamma=120.00
Space group P-3m1 (No. 164)
Inequivalent atoms, fractional coordinates:
Zn (0.0000, 0.0000, 0.0000)
Zn (0.3333, 0.6667, 0.3987)
In (0.3333, 0.6667, 0.8181)

=====

(3)
## ZnIn2 (PBE)

Data for a geometry-optimized ZnIn2 structure.

## Properties
The density of states at the Fermi level is 5.15 states/eV/cell. The value obtained for the total energy is -2.21 eV/atom.

Unit cell a=7.1794 b=7.1794 c=5.3536 alpha=90.00 beta=90.00 gamma=90.00
Space group I4/mcm (No. 140)
Inequivalent atoms, fractional coordinates:
Zn (0.0000, 0.0000, 0.2500)
In (0.1561, 0.3439, 0.0000)

=====

(4)
## ZnIn (PBE)

Data for a geometry-optimized ZnIn structure.

## Properties
The density of states at the Fermi level is 3.97 states/eV/cell. The value obtained for the total energy is -1.58 eV/atom.

Unit cell a=6.2511 b=6.2511 c=6.2511 alpha=90.00 beta=90.00 gamma=90.00
Space group F-43m (No. 216)
Inequivalent atoms, fractional coordinates:
Zn (0.0000, 0.0000, 0.0000)
In (0.2500, 0.2500, 0.2500)

=====

Going through the records in order, we get size of the total moment values of 0.00, 0.00, 0.00, 0.00 μB/f.u..